KRbMg14O15 (PBE-GGA, optimized geometry); V = 370.77 Å³/cell; Fermi-level density of states = 0.0000 states/eV per atom; magnetization = 0.092 μB/f.u.; energy relative to the lowest polymorph listed for this composition = 0 meV per atom; ΔE_f (raw) = -2275 meV/atom; electronic total energy = -5.461 eV per atom
1.0
-4.116 -0.013 -0.730
1.234 -4.981 -6.861
-1.025 -8.422 5.930
O Mg K Rb
15 14 1 1
Direct
0.000 0.500 0.790
0.500 0.258 0.210
0.500 0.742 0.210
0.500 0.000 0.512
0.500 0.500 0.982
0.500 0.214 0.776
0.500 0.786 0.776
0.500 0.500 0.587
0.000 0.263 0.987
0.000 0.205 0.585
0.000 0.737 0.987
0.000 0.500 0.191
0.500 0.000 0.032
0.000 0.795 0.585
0.000 0.000 0.274
0.000 0.723 0.772
0.000 0.277 0.772
0.500 0.500 0.781
0.500 0.500 0.181
0.500 0.765 0.998
0.000 0.242 0.189
0.500 0.000 0.227
0.000 0.000 0.476
0.500 0.000 0.700
0.500 0.261 0.569
0.500 0.235 0.998
0.500 0.739 0.569
0.000 0.500 0.990
0.000 0.758 0.189
0.000 0.000 0.911
0.000 0.500 0.445